(1)
SrLaV2O8 after structural relaxation. Source: Alexandria via LeMat-Bulk, functional PBE with a Hubbard U.

## Properties
- total energy (eV per atom) = -7.42

a b c (Å): 5.8303 5.8303 7.4859
angles (deg): 90.00 90.00 120.00
Last column: nearest neighbours and their distance in Å.
Space group P-3 (No. 147)
Symmetry-distinct sites (fractional):
Sr 0.0000 0.0000 0.0000 [1 per cell]  6 O 2.66
La 0.0000 0.0000 0.5000 [1 per cell]  6 O 2.40
V 0.3333 0.6667 0.8007 [2 per cell]  4 O 1.68-1.76
O 0.1665 0.3359 0.7265 [6 per cell]  1 V 1.76
O 0.3333 0.6667 0.0258 [2 per cell]  1 V 1.68


(2)
SrLaVO4 after structural relaxation. Source: Alexandria via LeMat-Bulk, functional PBE with a Hubbard U.

## Properties
- total energy (eV per atom) = -7.64

a b c (Å): 5.5412 12.7227 5.5741
angles (deg): 90.00 90.00 90.00
Last column: nearest neighbours and their distance in Å.
Space group Cmcm (No. 63)
Symmetry-distinct sites (fractional):
Sr 0.0000 0.1038 0.2500 [4 per cell]  1 O 2.41
La 0.0000 0.3913 0.2500 [4 per cell]  1 O 2.32
V 0.0000 0.2494 0.7500 [4 per cell]  5 O 1.96-2.09
O 0.0000 0.0855 0.7500 [4 per cell]  1 V 2.09
O 0.0000 0.4264 0.7500 [4 per cell]  1 V 2.25, 1 La 2.32
O 0.2500 0.2500 0.0000 [8 per cell]  2 V 1.96


(3)
SrLaVO4 after structural relaxation. Source: Alexandria via LeMat-Bulk, functional PBE with a Hubbard U.

## Properties
- total energy (eV per atom) = -7.65

a b c (Å): 3.9330 3.9330 12.7024
angles (deg): 90.00 90.00 90.00
Last column: nearest neighbours and their distance in Å.
Space group I4mm (No. 107)
Symmetry-distinct sites (fractional):
Sr 0.0000 0.0000 0.0000 [2 per cell]  1 O 2.41
La 0.0000 0.0000 0.7119 [2 per cell]  1 O 2.31
V 0.0000 0.0000 0.3587 [2 per cell]  6 O 1.97-2.18
O 0.0000 0.0000 0.1896 [2 per cell]  1 V 2.15
O 0.0000 0.0000 0.5302 [2 per cell]  1 V 2.18, 1 La 2.31
O 0.0000 0.5000 0.3501 [4 per cell]  2 V 1.97


(4)
SrLaVO4 after structural relaxation. Source: Alexandria via LeMat-Bulk, functional PBE with a Hubbard U.

## Properties
- total energy (eV per atom) = -7.66

a b c (Å): 5.6881 5.5450 12.5283
angles (deg): 90.00 90.00 90.00
Last column: nearest neighbours and their distance in Å.
Space group Aem2 (No. 39)
Symmetry-distinct sites (fractional):
Sr 0.2384 0.2500 0.0000 [4 per cell]  4 O 2.43-2.63
La 0.2690 0.2500 0.7136 [4 per cell]  4 O 2.32-2.58
V 0.2506 0.2500 0.3593 [4 per cell]  6 O 1.99-2.15
O 0.0000 0.0000 0.3368 [4 per cell]  2 V 2.01
O 0.2124 0.2500 0.5300 [4 per cell]  1 V 2.15, 1 La 2.32
O 0.3081 0.2500 0.1910 [4 per cell]  1 V 2.13
O 0.5000 0.0000 0.3674 [4 per cell]  2 V 1.99


(5)
SrLa2WO7 after structural relaxation. Source: Alexandria via LeMat-Bulk, functional PBE with a Hubbard U.

## Properties
- total energy (eV per atom) = -7.84

a b c (Å): 8.9417 5.8542 12.7730
angles (deg): 90.00 105.19 90.00
Last column: nearest neighbours and their distance in Å.
Space group P2_1/c (No. 14)
Symmetry-distinct sites (fractional):
Sr 0.0102 0.0202 0.3638 [4 per cell]  6 O 2.51-2.74
La 0.2996 0.5182 0.4172 [4 per cell]  6 O 2.37-2.60
La 0.4296 0.0145 0.6287 [4 per cell]  7 O 2.35-2.63
W 0.2139 0.0430 0.1658 [4 per cell]  6 O 1.93-2.01
O 0.0022 0.5558 0.3360 [4 per cell]  1 W 1.93
O 0.1838 0.2432 0.0345 [4 per cell]  1 W 2.01
O 0.1985 0.7281 0.5769 [4 per cell]  1 W 1.93
O 0.2404 0.1536 0.7417 [4 per cell]  1 W 2.01
O 0.2596 0.6118 0.8051 [4 per cell]  1 W 1.94
O 0.4394 0.0605 0.1815 [4 per cell]  1 W 1.98
O 0.4946 0.2429 0.4887 [4 per cell]  4 La 2.35-2.42


(6)
SrLa2WO8 after structural relaxation. Source: Alexandria via LeMat-Bulk, functional PBE with a Hubbard U.

## Properties
- total energy (eV per atom) = -7.34

a b c (Å): 4.5418 7.5714 5.3325
angles (deg): 90.00 93.95 90.00
Last column: nearest neighbours and their distance in Å.
Space group P2/m (No. 10)
Symmetry-distinct sites (fractional):
Sr 0.0000 0.0000 0.0000 [1 per cell]  8 O 2.50-2.79
La 0.5000 0.2560 0.5000 [2 per cell]  6 O 2.33-2.54
W 0.0000 0.5000 0.0000 [1 per cell]  6 O 1.96-1.97
O 0.0733 0.3094 0.7636 [4 per cell]  1 W 1.96
O 0.3939 0.5000 0.1784 [2 per cell]  1 W 1.97, 1 O 2.19
O 0.4836 0.0000 0.2558 [2 per cell]  2 La 2.33, 1 Sr 2.50, 1 O 2.60